No. 1
# LaMnGe2Ir (PBE-GGA, relaxed)
# - DFT total energy (eV for the cell shown) = -70.83
data_LaMnGe2Ir
_chemical_formula_sum 'La2 Mn2 Ge4 Ir2'
_cell_length_a 4.180
_cell_length_b 4.180
_cell_length_c 10.803
_cell_angle_alpha 90.00
_cell_angle_beta 90.00
_cell_angle_gamma 90.00
_symmetry_space_group_name_H-M 'I -4 m 2'
_symmetry_Int_Tables_number 119
_symmetry_space_group_name_Hall 'I -4 -2'
loop_
_atom_site_label
_atom_site_type_symbol
_atom_site_fract_x
_atom_site_fract_y
_atom_site_fract_z
_atom_site_occupancy
La1 La 0.000 0.000 0.000 1
Mn1 Mn 0.000 0.500 0.750 1
Ge1 Ge 0.000 0.000 0.378 1
Ir1 Ir 0.000 0.500 0.250 1

***

No. 2
# LaSCl2F (PBE-GGA, relaxed)
# - ΔE to the lowest computed polymorph (meV per atom) = 46
# - E_form (uncorrected) (kJ per mole of atoms) = -112
data_LaSCl2F
_chemical_formula_sum 'La1 S1 Cl2 F1'
_cell_length_a 5.045
_cell_length_b 5.045
_cell_length_c 3.968
_cell_angle_alpha 90.00
_cell_angle_beta 90.00
_cell_angle_gamma 90.00
_symmetry_space_group_name_H-M 'P 4/m m m'
_symmetry_Int_Tables_number 123
_symmetry_space_group_name_Hall '-P 4 2'
loop_
_atom_site_label
_atom_site_type_symbol
_atom_site_fract_x
_atom_site_fract_y
_atom_site_fract_z
_atom_site_occupancy
La1 La 0.000 0.000 0.000 1
S1 S 0.500 0.500 0.000 1
Cl1 Cl 0.000 0.500 0.500 1
F1 F 0.500 0.500 0.500 1

***

No. 3
# K3Pr2ZrSe6 (PBE-GGA, relaxed)
# - E_form (uncorrected) (kJ per mole of atoms) = -152
data_K3Pr2ZrSe6
_chemical_formula_sum 'K6 Pr4 Zr2 Se12'
_cell_length_a 7.315
_cell_length_b 12.676
_cell_length_c 8.120
_cell_angle_alpha 90.00
_cell_angle_beta 107.58
_cell_angle_gamma 90.00
_symmetry_space_group_name_H-M 'C 1 2/m 1'
_symmetry_Int_Tables_number 12
_symmetry_space_group_name_Hall '-C 2y'
loop_
_atom_site_label
_atom_site_type_symbol
_atom_site_fract_x
_atom_site_fract_y
_atom_site_fract_z
_atom_site_occupancy
K1 K 0.000 0.000 0.000 1
K2 K 0.000 0.329 0.000 1
Pr1 Pr 0.000 0.166 0.500 1
Zr1 Zr 0.000 0.500 0.500 1
Se1 Se 0.225 0.344 0.709 1
Se2 Se 0.240 0.500 0.290 1

***

No. 4
# NdEr4Zn5 (PBE-GGA, relaxed)
# - DFT total energy (eV for the cell shown) = -32.75
data_NdEr4Zn5
_chemical_formula_sum 'Nd1 Er4 Zn5'
_cell_length_a 3.559
_cell_length_b 3.559
_cell_length_c 17.914
_cell_angle_alpha 90.00
_cell_angle_beta 90.00
_cell_angle_gamma 90.00
_symmetry_space_group_name_H-M 'P 4/m m m'
_symmetry_Int_Tables_number 123
_symmetry_space_group_name_Hall '-P 4 2'
loop_
_atom_site_label
_atom_site_type_symbol
_atom_site_fract_x
_atom_site_fract_y
_atom_site_fract_z
_atom_site_occupancy
Nd1 Nd 0.000 0.000 0.000 1
Er1 Er 0.000 0.000 0.205 1
Er2 Er 0.000 0.000 0.402 1
Zn1 Zn 0.500 0.500 0.111 1
Zn2 Zn 0.500 0.500 0.303 1
Zn3 Zn 0.500 0.500 0.500 1